1.
A plane-wave DFT calculation with GGA-PBE was carried out for a geometry-optimized Sm5MgCd4 structure.

Cell lengths 3.829, 3.829, 19.001 Å; angles 90.00, 90.00, 90.00 degrees
Element x y z (fractional)
Sm: 0.000 0.000 0.000
Sm: 0.000 0.000 0.199
Sm: 0.000 0.000 0.399
Sm: 0.000 0.000 0.601
Sm: 0.000 0.000 0.801
Mg: 0.500 0.500 0.500
Cd: 0.500 0.500 0.100
Cd: 0.500 0.500 0.301
Cd: 0.500 0.500 0.699
Cd: 0.500 0.500 0.900

Summary:
crystal system	tetragonal
space group	P4/mmm, No. 123
D(E_F)	12.4	states/eV per cell
energy of formation	-0.273	eV/atom


2.
A plane-wave DFT calculation with GGA-PBE was carried out for a geometry-optimized Sm6MgCd structure.

Cell lengths 9.931, 9.931, 9.931 Å; angles 149.76, 149.76, 43.30 degrees
Element x y z (fractional)
Sm: 0.114 0.614 0.500
Sm: 0.249 0.249 0.000
Sm: 0.386 0.886 0.500
Sm: 0.614 0.114 0.500
Sm: 0.751 0.751 0.000
Sm: 0.886 0.386 0.500
Mg: 0.000 0.000 0.000
Cd: 0.500 0.500 0.000

Summary:
crystal system	tetragonal
offset from the most stable computed form	0.00	eV per formula unit
space group	I4/mmm, No. 139
D(E_F)	10.1	states/eV per cell
energy of formation	-0.090	eV/atom


3.
A plane-wave DFT calculation with GGA-PBE was carried out for a geometry-optimized SmMg15Cd4 structure.

Cell lengths 4.630, 4.630, 21.337 Å; angles 90.00, 90.00, 90.00 degrees
Element x y z (fractional)
Sm: 0.000 0.000 0.000
Mg: 0.000 0.500 0.109
Mg: 0.000 0.500 0.303
Mg: 0.000 0.500 0.500
Mg: 0.000 0.500 0.697
Mg: 0.000 0.500 0.891
Mg: 0.500 0.000 0.109
Mg: 0.500 0.000 0.303
Mg: 0.500 0.000 0.500
Mg: 0.500 0.000 0.697
Mg: 0.500 0.000 0.891
Mg: 0.500 0.500 0.000
Mg: 0.500 0.500 0.208
Mg: 0.500 0.500 0.401
Mg: 0.500 0.500 0.599
Mg: 0.500 0.500 0.792
Cd: 0.000 0.000 0.203
Cd: 0.000 0.000 0.403
Cd: 0.000 0.000 0.597
Cd: 0.000 0.000 0.797

Summary:
crystal system	tetragonal
space group	P4/mmm, No. 123
D(E_F)	7.1	states/eV per cell
energy of formation	-0.070	eV/atom


4.
A plane-wave DFT calculation with GGA-PBE was carried out for a geometry-optimized Sm3Mg4Cd2 structure.

Cell lengths 5.419, 5.419, 9.514 Å; angles 96.26, 96.26, 58.71 degrees
Element x y z (fractional)
Sm: 0.000 0.000 0.000
Sm: 0.367 0.367 0.255
Sm: 0.633 0.633 0.745
Mg: 0.050 0.050 0.356
Mg: 0.321 0.321 0.903
Mg: 0.679 0.679 0.097
Mg: 0.950 0.950 0.644
Cd: 0.285 0.285 0.597
Cd: 0.715 0.715 0.403

Summary:
crystal system	monoclinic
offset from the most stable computed form	0.60	eV per formula unit
space group	C2/m, No. 12
D(E_F)	6.2	states/eV per cell
energy of formation	-0.127	eV/atom


5.
A plane-wave DFT calculation with GGA-PBE was carried out for a geometry-optimized Sm3Mg2Cd3 structure.

Cell lengths 9.747, 9.747, 9.747 Å; angles 152.78, 150.49, 40.57 degrees
Element x y z (fractional)
Sm: 0.000 0.000 0.000
Sm: 0.372 0.872 0.500
Sm: 0.628 0.128 0.500
Mg: 0.245 0.245 0.000
Mg: 0.755 0.755 0.000
Cd: 0.140 0.640 0.500
Cd: 0.500 0.500 0.000
Cd: 0.860 0.360 0.500

Summary:
crystal system	orthorhombic
space group	Immm, No. 71
D(E_F)	6.0	states/eV per cell
energy of formation	-0.207	eV/atom


6.
A plane-wave DFT calculation with GGA-PBE was carried out for a geometry-optimized SmMg2Cd3 structure.

Cell lengths 4.934, 4.934, 13.501 Å; angles 90.00, 90.00, 120.00 degrees
Element x y z (fractional)
Sm: 0.000 0.000 0.250
Sm: 0.000 0.000 0.750
Mg: 0.333 0.667 0.097
Mg: 0.333 0.667 0.403
Mg: 0.667 0.333 0.597
Mg: 0.667 0.333 0.903
Cd: 0.000 0.000 0.000
Cd: 0.000 0.000 0.500
Cd: 0.333 0.667 0.635
Cd: 0.333 0.667 0.865
Cd: 0.667 0.333 0.135
Cd: 0.667 0.333 0.365

Summary:
crystal system	hexagonal
offset from the most stable computed form	0.00	eV per formula unit
space group	P6_3/mmc, No. 194
D(E_F)	6.9	states/eV per cell
energy of formation	-0.221	eV/atom


7.
A plane-wave DFT calculation with GGA-PBE was carried out for a geometry-optimized Sm2MgCd5 structure.

Cell lengths 9.103, 9.103, 10.140 Å; angles 90.00, 90.00, 150.77 degrees
Element x y z (fractional)
Sm: 0.000 0.000 0.000
Sm: 0.000 0.000 0.500
Sm: 0.188 0.812 0.750
Sm: 0.812 0.188 0.250
Mg: 0.460 0.540 0.250
Mg: 0.540 0.460 0.750
Cd: 0.199 0.801 0.101
Cd: 0.199 0.801 0.399
Cd: 0.365 0.635 0.030
Cd: 0.365 0.635 0.470
Cd: 0.384 0.616 0.750
Cd: 0.616 0.384 0.250
Cd: 0.635 0.365 0.530
Cd: 0.635 0.365 0.970
Cd: 0.801 0.199 0.601
Cd: 0.801 0.199 0.899

Summary:
crystal system	orthorhombic
offset from the most stable computed form	0.16	eV per formula unit
space group	Cmcm, No. 63
D(E_F)	14.9	states/eV per cell
energy of formation	-0.195	eV/atom


8.
A plane-wave DFT calculation with GGA-PBE was carried out for a geometry-optimized SmMg7Cd5 structure.

Cell lengths 7.668, 7.668, 7.668 Å; angles 134.62, 98.41, 98.70 degrees
Element x y z (fractional)
Sm: 0.000 0.000 0.000
Mg: 0.215 0.504 0.712
Mg: 0.349 0.349 0.000
Mg: 0.350 0.000 0.350
Mg: 0.649 0.649 0.000
Mg: 0.650 0.000 0.650
Mg: 0.786 0.286 0.500
Mg: 0.792 0.504 0.288
Cd: 0.001 0.004 0.497
Cd: 0.001 0.504 0.997
Cd: 0.208 0.708 0.500
Cd: 0.507 0.004 0.003
Cd: 0.507 0.504 0.503

Summary:
crystal system	orthorhombic
space group	Imm2, No. 44
D(E_F)	4.6	states/eV per cell
energy of formation	-0.145	eV/atom


9.
A plane-wave DFT calculation with GGA-PBE was carried out for a geometry-optimized Sm4Mg2Cd5 structure.

Cell lengths 8.030, 3.489, 10.569 Å; angles 90.00, 94.96, 90.00 degrees
Element x y z (fractional)
Sm: 0.171 0.000 0.397
Sm: 0.288 0.000 0.937
Sm: 0.712 0.000 0.063
Sm: 0.829 0.000 0.603
Mg: 0.062 0.500 0.137
Mg: 0.938 0.500 0.863
Cd: 0.191 0.500 0.668
Cd: 0.429 0.500 0.211
Cd: 0.500 0.500 0.500
Cd: 0.571 0.500 0.789
Cd: 0.809 0.500 0.332

Summary:
crystal system	monoclinic
space group	P2/m, No. 10
D(E_F)	10.8	states/eV per cell
energy of formation	-0.176	eV/atom


10.
A plane-wave DFT calculation with GGA-PBE was carried out for a geometry-optimized Sm4Mg3Cd2 structure.

Cell lengths 5.364, 5.364, 10.052 Å; angles 90.05, 90.05, 60.05 degrees
Element x y z (fractional)
Sm: 0.000 0.000 0.172
Sm: 0.000 0.000 0.828
Sm: 0.333 0.333 0.380
Sm: 0.667 0.667 0.620
Mg: 0.000 0.000 0.500
Mg: 0.333 0.333 0.009
Mg: 0.667 0.667 0.991
Cd: 0.333 0.333 0.699
Cd: 0.667 0.667 0.301

Summary:
crystal system	monoclinic
space group	C2/m, No. 12
D(E_F)	10.1	states/eV per cell
energy of formation	-0.160	eV/atom


11.
A plane-wave DFT calculation with GGA-PBE was carried out for a geometry-optimized Sm5Mg4Cd structure.

Cell lengths 3.840, 3.840, 19.193 Å; angles 90.00, 90.00, 90.00 degrees
Element x y z (fractional)
Sm: 0.000 0.000 0.000
Sm: 0.000 0.000 0.201
Sm: 0.000 0.000 0.401
Sm: 0.000 0.000 0.599
Sm: 0.000 0.000 0.799
Mg: 0.500 0.500 0.100
Mg: 0.500 0.500 0.300
Mg: 0.500 0.500 0.700
Mg: 0.500 0.500 0.900
Cd: 0.500 0.500 0.500

Summary:
crystal system	tetragonal
space group	P4/mmm, No. 123
D(E_F)	12.9	states/eV per cell
energy of formation	-0.144	eV/atom


12.
A plane-wave DFT calculation with GGA-PBE was carried out for a geometry-optimized SmMg2Cd6 structure.

Cell lengths 9.520, 9.520, 5.071 Å; angles 90.00, 90.00, 73.25 degrees
Element x y z (fractional)
Sm: 0.191 0.809 0.750
Sm: 0.809 0.191 0.250
Mg: 0.256 0.414 0.750
Mg: 0.414 0.256 0.250
Mg: 0.586 0.744 0.750
Mg: 0.744 0.586 0.250
Cd: 0.037 0.175 0.750
Cd: 0.055 0.371 0.250
Cd: 0.175 0.037 0.250
Cd: 0.238 0.573 0.250
Cd: 0.371 0.055 0.750
Cd: 0.427 0.762 0.250
Cd: 0.573 0.238 0.750
Cd: 0.629 0.945 0.250
Cd: 0.762 0.427 0.750
Cd: 0.825 0.963 0.750
Cd: 0.945 0.629 0.750
Cd: 0.963 0.825 0.250

Summary:
crystal system	orthorhombic
space group	Cmcm, No. 63
D(E_F)	7.3	states/eV per cell
energy of formation	-0.113	eV/atom


13.
A plane-wave DFT calculation with GGA-PBE was carried out for a geometry-optimized Sm12Mg2Cd5 structure.

Cell lengths 8.338, 8.338, 8.478 Å; angles 100.14, 100.14, 79.91 degrees
Element x y z (fractional)
Sm: 0.081 0.081 0.214
Sm: 0.128 0.514 0.696
Sm: 0.132 0.653 0.107
Sm: 0.347 0.868 0.893
Sm: 0.364 0.364 0.369
Sm: 0.486 0.872 0.304
Sm: 0.514 0.128 0.696
Sm: 0.636 0.636 0.631
Sm: 0.653 0.132 0.107
Sm: 0.868 0.347 0.893
Sm: 0.872 0.486 0.304
Sm: 0.919 0.919 0.786
Mg: 0.224 0.776 0.500
Mg: 0.776 0.224 0.500
Cd: 0.129 0.129 0.607
Cd: 0.259 0.259 0.980
Cd: 0.500 0.500 0.000
Cd: 0.741 0.741 0.020
Cd: 0.871 0.871 0.393

Summary:
crystal system	monoclinic
space group	C2/m, No. 12
D(E_F)	23.4	states/eV per cell
energy of formation	-0.090	eV/atom


14.
A plane-wave DFT calculation with GGA-PBE was carried out for a geometry-optimized SmMgCd4 structure.

Cell lengths 9.459, 9.459, 7.211 Å; angles 90.00, 90.00, 153.12 degrees
Element x y z (fractional)
Sm: 0.109 0.891 0.750
Sm: 0.891 0.109 0.250
Mg: 0.234 0.766 0.250
Mg: 0.766 0.234 0.750
Cd: 0.070 0.930 0.250
Cd: 0.336 0.664 0.545
Cd: 0.336 0.664 0.955
Cd: 0.500 0.500 0.000
Cd: 0.500 0.500 0.500
Cd: 0.664 0.336 0.045
Cd: 0.664 0.336 0.455
Cd: 0.930 0.070 0.750

Summary:
crystal system	orthorhombic
space group	Cmcm, No. 63
D(E_F)	4.8	states/eV per cell
energy of formation	-0.183	eV/atom


15.
A plane-wave DFT calculation with GGA-PBE was carried out for a geometry-optimized Sm4MgCd2 structure.

Cell lengths 6.578, 6.578, 5.143 Å; angles 90.00, 90.00, 106.68 degrees
Element x y z (fractional)
Sm: 0.000 0.500 0.500
Sm: 0.229 0.229 0.000
Sm: 0.500 0.000 0.500
Sm: 0.771 0.771 0.000
Mg: 0.500 0.500 0.500
Cd: 0.269 0.731 0.000
Cd: 0.731 0.269 0.000

Summary:
crystal system	orthorhombic
offset from the most stable computed form	0.00	eV per formula unit
space group	Cmmm, No. 65
D(E_F)	10.9	states/eV per cell
energy of formation	-0.084	eV/atom


16.
A plane-wave DFT calculation with GGA-PBE was carried out for a geometry-optimized Sm3Mg4Cd2 structure.

Cell lengths 6.170, 6.170, 9.588 Å; angles 119.65, 119.65, 49.64 degrees
Element x y z (fractional)
Sm: 0.000 0.000 0.000
Sm: 0.335 0.335 0.333
Sm: 0.665 0.665 0.667
Mg: 0.063 0.063 0.393
Mg: 0.284 0.284 0.948
Mg: 0.716 0.716 0.052
Mg: 0.937 0.937 0.607
Cd: 0.389 0.389 0.723
Cd: 0.611 0.611 0.277

Summary:
crystal system	monoclinic
offset from the most stable computed form	0.00	eV per formula unit
space group	C2/m, No. 12
D(E_F)	5.8	states/eV per cell
energy of formation	-0.193	eV/atom


17.
A plane-wave DFT calculation with GGA-PBE was carried out for a geometry-optimized Sm2Mg2Cd structure.

Cell lengths 7.261, 7.261, 6.016 Å; angles 99.07, 99.07, 26.69 degrees
Element x y z (fractional)
Sm: 0.199 0.199 0.233
Sm: 0.801 0.801 0.767
Mg: 0.088 0.088 0.679
Mg: 0.912 0.912 0.321
Cd: 0.500 0.500 0.000

Summary:
crystal system	monoclinic
offset from the most stable computed form	0.65	eV per formula unit
space group	C2/m, No. 12
D(E_F)	4.1	states/eV per cell
energy of formation	-0.004	eV/atom


18.
A plane-wave DFT calculation with GGA-PBE was carried out for a geometry-optimized Sm2Mg3Cd structure.

Cell lengths 10.418, 9.612, 6.197 Å; angles 79.23, 65.01, 35.76 degrees
Element x y z (fractional)
Sm: 0.249 0.751 0.751
Sm: 0.250 0.250 0.250
Sm: 0.750 0.750 0.750
Sm: 0.751 0.249 0.249
Mg: 0.164 0.669 0.331
Mg: 0.331 0.836 0.164
Mg: 0.333 0.333 0.667
Mg: 0.667 0.667 0.333
Mg: 0.669 0.164 0.836
Mg: 0.836 0.331 0.669
Cd: 0.167 0.167 0.833
Cd: 0.833 0.833 0.167

Summary:
crystal system	orthorhombic
offset from the most stable computed form	0.00	eV per formula unit
space group	Fmmm, No. 69
D(E_F)	9.1	states/eV per cell
energy of formation	-0.165	eV/atom


19.
A plane-wave DFT calculation with GGA-PBE was carried out for a geometry-optimized Sm5MgCd2 structure.

Cell lengths 6.238, 6.238, 16.687 Å; angles 90.00, 90.00, 134.03 degrees
Element x y z (fractional)
Sm: 0.011 0.989 0.750
Sm: 0.153 0.847 0.535
Sm: 0.153 0.847 0.965
Sm: 0.458 0.542 0.600
Sm: 0.458 0.542 0.900
Sm: 0.542 0.458 0.100
Sm: 0.542 0.458 0.400
Sm: 0.847 0.153 0.035
Sm: 0.847 0.153 0.465
Sm: 0.989 0.011 0.250
Mg: 0.289 0.711 0.750
Mg: 0.711 0.289 0.250
Cd: 0.266 0.734 0.156
Cd: 0.266 0.734 0.344
Cd: 0.734 0.266 0.656
Cd: 0.734 0.266 0.844

Summary:
crystal system	orthorhombic
space group	Cmcm, No. 63
D(E_F)	15.4	states/eV per cell
energy of formation	-0.093	eV/atom


20.
A plane-wave DFT calculation with GGA-PBE was carried out for a geometry-optimized Sm2MgCd structure.

Cell lengths 5.380, 5.380, 3.867 Å; angles 90.00, 90.00, 90.00 degrees
Element x y z (fractional)
Sm: 0.000 0.500 0.000
Sm: 0.500 0.000 0.000
Mg: 0.000 0.000 0.500
Cd: 0.500 0.500 0.500

Summary:
crystal system	tetragonal
space group	P4/mmm, No. 123
D(E_F)	4.5	states/eV per cell
energy of formation	-0.211	eV/atom


| no. | total energy (eV per atom) |
| --- | --- |
| 1 | -3.158 |
| 2 | -3.943 |
| 3 | -1.685 |
| 4 | -2.612 |
| 5 | -2.718 |
| 6 | -1.997 |
| 7 | -2.146 |
| 8 | -1.718 |
| 9 | -2.598 |
| 10 | -2.992 |
| 11 | -3.233 |
| 12 | -1.602 |
| 13 | -3.480 |
| 14 | -1.846 |
| 15 | -3.269 |
| 16 | -2.678 |
| 17 | -2.712 |
| 18 | -2.688 |
| 19 | -3.470 |
| 20 | -3.198 |